The following is a DFT calculation (PBE-GGA) of a geometry-optimized NiSb2RhI structure.

Geometry as CIF:
```
data_NiSb2RhI
_space_group_name_H-M_alt 'P 4/m m m'
_space_group_IT_number 123
_space_group_name_Hall '-P 4 2'
_cell_length_a 4.854
_cell_length_b 4.854
_cell_length_c 5.213
_cell_angle_alpha 90.00
_cell_angle_beta 90.00
_cell_angle_gamma 90.00
loop_
_atom_site_label
_atom_site_type_symbol
_atom_site_fract_x
_atom_site_fract_y
_atom_site_fract_z
_atom_site_occupancy
Ni1 Ni 0.000 0.000 0.000 1
Sb1 Sb 0.000 0.500 0.000 1
Rh1 Rh 0.500 0.500 0.500 1
I1 I 0.000 0.000 0.500 1
```

Summary:
Crystal system ... tetragonal
V ... 24.56 A^3/atom
Size of the total moment ... 0.0 μB/f.u.
Energy above the most stable polymorph in this dataset ... 0.00 kcal/mol of atoms
Formation energy without anion corrections ... 0.7172 eV/atom